DFT (PBE) results for a geometry-optimized NpTa2N structure.

Results
- Theoretical density: 16.01 g cm⁻³
- E_form (uncorrected): -0.297 eV/atom
- VASP energy: -46.2 eV per cell

Geometry as POSCAR:
```
NpTa2N
1.0
3.0147 0.0000 0.0000
1.5073 2.6108 0.0000
1.5073 0.8703 8.0789
Np N Ta
1 1 2
Cartesian
0.0000 0.0000 0.0000
3.0147 1.7405 4.0395
1.5073 0.8703 2.7148
4.5220 2.6108 5.3642
```

DFT (PBE) results for a geometry-optimized Np2TaN4 structure.

Results
- Polymorph energy (0 for the lowest one): 26 meV per atom
- Theoretical density: 11.42 g cm⁻³
- E_form (uncorrected): -0.951 eV/atom
- VASP energy: -155.4 eV per cell

Geometry as POSCAR:
```
Np2TaN4
1.0
-2.2826 -6.2276 0.2601
3.8131 -1.6136 -5.1882
4.2520 -5.0763 0.4583
Ta N Np
2 8 4
Cartesian
2.2076 -2.6526 -1.7985
3.5750 -10.2648 -2.6714
3.2789 -8.4490 -3.4540
2.2879 -2.7653 -3.7930
1.3437 -7.6329 -0.8837
4.4389 -5.2845 -3.5861
2.5037 -4.4685 -1.0159
3.4947 -10.1522 -0.6769
0.4123 -1.9715 -1.2412
5.3703 -10.9459 -3.2287
4.2520 -5.0763 0.4583
0.9847 -5.6520 0.3592
3.1108 -8.1901 0.5883
2.8913 -6.4587 -2.2349
```

DFT (PBE) results for a geometry-optimized Np3TaN6 structure.

Results
- Theoretical density: 11.39 g cm⁻³
- E_form (uncorrected): -1.101 eV/atom
- VASP energy: -223.3 eV per cell

Geometry as POSCAR:
```
Np3TaN6
1.0
-0.9041 1.1559 -6.4180
-0.0106 -6.5239 -0.8849
-6.4678 0.1285 1.2227
Np N Ta
6 12 2
Cartesian
-2.1544 0.2140 -3.3744
-0.7025 -3.3780 -2.0420
-5.2281 -5.4535 -2.7058
-3.6652 -3.7376 -6.0820
-6.6800 -1.8615 -4.0382
-3.7173 -1.5019 0.0019
-1.3631 -3.4198 -6.5517
-4.5492 -1.9772 -4.8619
-1.7442 -2.0242 -3.6076
-2.8239 0.7154 -5.5929
-3.8807 -0.7165 -2.1403
-2.8333 -3.2622 -1.2183
-5.6383 -3.2153 -2.4726
-3.5018 -4.5230 -3.9399
-6.7083 0.4110 -3.3629
-4.5586 -5.9549 -0.4873
-6.0194 -1.8197 0.4716
-0.6742 -5.6505 -2.7173
0.0000 0.0000 0.0000
-3.6913 -2.6197 -3.0401
```

DFT (PBE) results for a geometry-optimized Np2TaN6 structure.

Results
- Theoretical density: 12.02 g cm⁻³
- E_form (uncorrected): -0.522 eV/atom
- VASP energy: -92.4 eV per cell

Geometry as POSCAR:
```
Np2TaN6
1.0
3.8230 0.0000 0.0000
0.0000 5.5532 0.0000
0.0000 -2.7766 4.8093
N Np Ta
6 2 1
Cartesian
2.8843 3.7186 0.2822
2.8843 1.1617 1.4478
0.9386 -0.9419 4.5271
0.9386 -0.6730 1.7300
0.9386 1.6149 3.3614
2.8843 3.4496 3.0793
2.9785 0.0000 3.2062
0.8444 2.7766 1.6031
1.9115 0.0000 0.0000
```

DFT (PBE) results for a geometry-optimized Np5TaN6 structure.

Results
- Theoretical density: 14.74 g cm⁻³
- E_form (uncorrected): -1.147 eV/atom
- VASP energy: -140.3 eV per cell

Geometry as POSCAR:
```
Np5TaN6
1.0
5.7786 0.1342 0.8743
1.4121 4.9089 2.8604
0.0943 0.0601 5.8414
N Np Ta
6 5 1
Cartesian
5.0445 2.0717 5.7913
2.7208 4.6024 6.8427
1.7222 1.1803 0.8795
5.4685 3.8628 2.8551
4.5642 0.5008 2.7333
2.2405 3.0315 3.7847
0.5029 1.6595 2.8948
1.0035 3.3095 5.8069
3.5953 2.5216 1.8673
3.1890 0.9313 4.7972
4.0960 4.1720 4.7789
0.0000 0.0000 0.0000
```

DFT (PBE) results for a geometry-optimized NpTaN3 structure.

Results
- Theoretical density: 11.70 g cm⁻³
- E_form (uncorrected): -0.758 eV/atom
- VASP energy: -107.1 eV per cell

Geometry as POSCAR:
```
NpTaN3
1.0
-2.1938 3.0924 -0.9381
-1.5934 0.4598 5.2419
5.5086 3.4494 -1.5114
N Np Ta
6 2 2
Cartesian
1.4817 1.1570 0.3489
-2.2716 1.8852 3.3956
-1.5156 1.6670 0.9083
1.6574 3.2709 -1.2248
0.8607 3.5008 1.3962
2.4336 2.7522 3.3816
3.2187 2.5133 0.7579
0.6965 1.3958 2.9726
1.7000 4.5821 2.9981
0.0214 2.4194 -0.2057
```

DFT (PBE) results for a geometry-optimized Np3TaN4 structure.

Results
- Theoretical density: 14.82 g cm⁻³
- E_form (uncorrected): -1.143 eV/atom
- VASP energy: -186.2 eV per cell

Geometry as POSCAR:
```
Np3TaN4
1.0
5.7732 0.0422 0.0000
-1.9837 5.4968 0.0000
0.0000 0.0000 6.6747
Np N Ta
6 8 2
Cartesian
4.3299 0.0316 2.4938
3.3381 2.7800 0.8103
0.4515 2.7589 5.8644
1.4433 0.0105 4.1809
0.4515 2.7589 2.4799
3.3381 2.7800 4.1948
5.2376 1.3318 4.2707
-1.4480 4.2071 2.4039
2.4258 1.2530 5.9065
5.3124 1.2741 0.7682
2.3510 1.3107 2.4039
-1.5228 4.2648 5.9065
1.3638 4.2859 0.7682
1.4386 4.2282 4.2707
1.4433 0.0105 0.8284
4.3299 0.0316 5.8462
```

DFT (PBE) results for a geometry-optimized Np3Ta5N12 structure.

Results
- Theoretical density: 11.08 g cm⁻³
- E_form (uncorrected): -1.047 eV/atom
- VASP energy: -875.7 eV per cell

Geometry as POSCAR:
```
Np3Ta5N12
1.0
-4.3702 -8.4686 -5.8025
10.9598 -1.6417 1.2928
-4.8840 0.5575 10.0159
N Ta Np
48 20 12
Cartesian
-0.6949 -5.7454 6.3195
3.5923 -3.3707 9.1506
4.7244 -6.2389 4.5981
-0.1517 -7.2682 -0.2193
-1.8537 -7.8748 4.7517
5.0159 -8.3045 -0.6633
3.5593 -1.6779 0.7546
-3.4090 -5.2157 -1.4963
9.0236 -2.2248 1.8811
-2.9233 -7.6385 -0.0033
-1.8867 -6.1820 -3.6443
1.1429 -8.6630 3.6823
-3.2131 -4.5151 6.4203
-0.5068 -3.7358 3.9794
0.5627 -0.8898 1.8239
1.8573 -2.2846 5.7256
2.4005 -3.8073 -0.8132
1.8964 -5.7329 4.3123
2.3477 -4.7889 7.0757
-4.4006 -6.7256 4.9927
3.2450 -0.8863 7.7216
-3.3103 -1.2483 6.1696
-3.3588 -3.3925 3.6908
4.9187 -5.0377 -0.9141
2.2124 -5.8170 1.5269
-3.5355 -5.7546 2.1893
-0.6421 -4.7639 -1.5695
2.4421 -6.8561 -1.5734
4.6289 -1.9142 5.5096
5.0644 -6.1603 1.8154
7.7304 -1.9927 4.4519
1.3977 -9.0866 -3.0798
-4.4892 -1.1172 8.8017
0.3079 -0.4662 8.5861
-0.7545 -0.8203 4.3920
-1.5394 -8.6665 -2.2154
-3.0188 -3.3139 0.9081
-0.7122 -6.1791 2.6179
6.1062 -2.8271 0.5136
-0.7365 -2.6967 7.0796
5.1145 -4.3371 7.0025
-7.3180 -7.3279 3.6251
-6.0248 -7.5600 1.0544
-0.1908 -3.8199 1.1940
6.1947 -8.4356 -3.2954
2.4178 -3.3737 2.8883
2.4601 -8.7324 1.1143
5.2411 -3.7982 3.3170
5.4799 -0.8209 0.6464
2.3426 -1.5348 2.2635
-2.4420 0.2788 5.0080
-2.1851 -4.2343 -2.9012
1.7407 -7.1684 0.2121
-6.1812 -6.0688 4.5737
7.8868 -3.4840 0.9326
5.6375 -6.5900 0.0086
5.8421 -2.0808 4.0003
0.8528 -4.7764 2.7531
3.2948 -5.0551 -2.2548
3.0379 -0.5421 5.6544
-4.1365 -7.4720 1.5060
1.2150 -6.0363 6.1070
0.0000 0.0000 0.0000
-4.6271 -3.9555 2.1067
-3.9319 -2.9628 5.4976
0.4906 -3.5165 -0.6007
-0.6370 -8.0179 3.2428
-0.0351 -2.3843 5.2941
-3.6749 -7.4758 -2.4116
3.9900 -4.0624 1.1361
5.3805 -2.0769 7.9178
-2.0798 -0.9812 8.3618
0.2218 -6.8974 -2.6151
3.7854 -8.5716 -2.8556
-1.5541 -2.1133 2.4670
3.5285 -4.0586 5.0536
3.2597 -7.4395 3.0393
-2.2845 -5.4904 4.3702
1.4838 -2.6554 8.1213
-1.8229 -5.4942 0.4526
```